a.
A plane-wave DFT calculation with PBE-GGA was carried out for crystalline YMnCo2 at its relaxed geometry.

```
data_YMnCo2
_chemical_formula_sum 'Y3 Mn3 Co6'
_symmetry_space_group_name_H-M 'R -3 m'
_symmetry_Int_Tables_number 166
_symmetry_space_group_name_Hall '-R 3 2"'
_cell_length_a 3.1115
_cell_length_b 3.1115
_cell_length_c 23.4596
_cell_angle_alpha 90.00
_cell_angle_beta 90.00
_cell_angle_gamma 120.00
loop_
_atom_site_label
_atom_site_fract_x
_atom_site_fract_y
_atom_site_fract_z
Y1 0.0000 0.0000 0.0000
Mn1 0.0000 0.0000 0.5000
Co1 0.0000 0.0000 0.2420
```

Density of states at the Fermi level, states/eV/f.u.: 4.3


b.
A plane-wave DFT calculation with PBE-GGA was carried out for crystalline YMnCo2 at its relaxed geometry.

```
data_YMnCo2
_chemical_formula_sum 'Y2 Mn2 Co4'
_symmetry_space_group_name_H-M 'C 1 m 1'
_symmetry_Int_Tables_number 8
_cell_length_a 9.952
_cell_length_b 3.225
_cell_length_c 4.354
_cell_angle_alpha 90.00
_cell_angle_beta 115.86
_cell_angle_gamma 90.00
loop_
_symmetry_equiv_pos_as_xyz
'x,y,z'
'x,-y,z'
'x+1/2,y+1/2,z'
'x+1/2,-y+1/2,z'
loop_
_atom_site_label
_atom_site_fract_x
_atom_site_fract_y
_atom_site_fract_z
Y1 0.000 0.000 0.000
Mn1 0.222 0.000 0.722
Co1 0.266 0.500 0.266
Co2 0.481 0.000 0.481
```

Density of states at the Fermi level, states/eV/f.u.: 2.2


c.
A plane-wave DFT calculation with PBE-GGA was carried out for crystalline YMnCo2 at its relaxed geometry.

```
data_YMnCo2
_chemical_formula_sum 'Y2 Mn2 Co4'
_symmetry_space_group_name_H-M 'A m m 2'
_symmetry_Int_Tables_number 38
_cell_length_a 3.782
_cell_length_b 3.674
_cell_length_c 9.790
_cell_angle_alpha 90.00
_cell_angle_beta 90.00
_cell_angle_gamma 90.00
loop_
_symmetry_equiv_pos_as_xyz
'x,y,z'
'-x,-y,z'
'-x,y,z'
'x,-y,z'
'x,y+1/2,z+1/2'
'-x,-y+1/2,z+1/2'
'-x,y+1/2,z+1/2'
'x,-y+1/2,z+1/2'
loop_
_atom_site_label
_atom_site_fract_x
_atom_site_fract_y
_atom_site_fract_z
Y1 0.000 0.000 0.000
Mn1 0.500 0.000 0.293
Co1 0.000 0.000 0.726
Co2 0.500 0.000 0.609
```

Density of states at the Fermi level, states/eV/f.u.: 4.3


d.
A plane-wave DFT calculation with PBE-GGA was carried out for crystalline YMnCo2 at its relaxed geometry.

```
data_YMnCo2
_chemical_formula_sum 'Y4 Mn4 Co8'
_symmetry_space_group_name_H-M 'I -4 2 d'
_symmetry_Int_Tables_number 122
_symmetry_space_group_name_Hall 'I -4 2bw'
_cell_length_a 4.414
_cell_length_b 4.414
_cell_length_c 15.734
_cell_angle_alpha 90.00
_cell_angle_beta 90.00
_cell_angle_gamma 90.00
loop_
_atom_site_label
_atom_site_fract_x
_atom_site_fract_y
_atom_site_fract_z
Y1 0.000 0.000 0.000
Mn1 0.000 0.000 0.500
Co1 0.004 0.250 0.625
```

Density of states at the Fermi level, states/eV/f.u.: 3.9


Energies relative to the minimum, meV/atom: a 384; b 7; c 0; d 243


a.
A plane-wave DFT calculation with PBE-GGA was carried out for crystalline YMnCo2 at its relaxed geometry.

```
data_YMnCo2
_chemical_formula_sum 'Y4 Mn4 Co8'
_symmetry_space_group_name_H-M 'F -4 3 m'
_symmetry_Int_Tables_number 216
_symmetry_space_group_name_Hall 'F -4 2 3'
_cell_length_a 6.246
_cell_length_b 6.246
_cell_length_c 6.246
_cell_angle_alpha 90.00
_cell_angle_beta 90.00
_cell_angle_gamma 90.00
loop_
_atom_site_label
_atom_site_fract_x
_atom_site_fract_y
_atom_site_fract_z
Y1 0.000 0.000 0.000
Mn1 0.250 0.250 0.750
Co1 0.000 0.000 0.500
Co2 0.250 0.250 0.250
```

Density of states at the Fermi level, states/eV/f.u.: 4.9


b.
A plane-wave DFT calculation with PBE-GGA was carried out for crystalline YMnCo2 at its relaxed geometry.

```
data_YMnCo2
_chemical_formula_sum 'Y1 Mn1 Co2'
_symmetry_space_group_name_H-M 'P 4/m m m'
_symmetry_Int_Tables_number 123
_symmetry_space_group_name_Hall '-P 4 2'
_cell_length_a 3.094
_cell_length_b 3.094
_cell_length_c 6.300
_cell_angle_alpha 90.00
_cell_angle_beta 90.00
_cell_angle_gamma 90.00
loop_
_atom_site_label
_atom_site_fract_x
_atom_site_fract_y
_atom_site_fract_z
Y1 0.000 0.000 0.000
Mn1 0.000 0.000 0.500
Co1 0.500 0.500 0.299
```

Density of states at the Fermi level, states/eV/f.u.: 3.8


Energies relative to the minimum, meV/atom: a 180; b 0


a.
A plane-wave DFT calculation with PBE-GGA was carried out for crystalline YMnCo2 at its relaxed geometry.

```
data_YMnCo2
_chemical_formula_sum 'Y4 Mn4 Co8'
_symmetry_space_group_name_H-M 'F m -3 m'
_symmetry_Int_Tables_number 225
_symmetry_space_group_name_Hall '-F 4 2 3'
_cell_length_a 6.235
_cell_length_b 6.235
_cell_length_c 6.235
_cell_angle_alpha 90.00
_cell_angle_beta 90.00
_cell_angle_gamma 90.00
loop_
_atom_site_label
_atom_site_fract_x
_atom_site_fract_y
_atom_site_fract_z
Y1 0.000 0.000 0.000
Mn1 0.000 0.000 0.500
Co1 0.250 0.250 0.250
```

Density of states at the Fermi level, states/eV/f.u.: 3.8


b.
A plane-wave DFT calculation with PBE-GGA was carried out for crystalline YMnCo2 at its relaxed geometry.

```
data_YMnCo2
_chemical_formula_sum 'Y1 Mn1 Co2'
_symmetry_space_group_name_H-M 'P 4/m m m'
_symmetry_Int_Tables_number 123
_symmetry_space_group_name_Hall '-P 4 2'
_cell_length_a 4.319
_cell_length_b 4.319
_cell_length_c 3.244
_cell_angle_alpha 90.00
_cell_angle_beta 90.00
_cell_angle_gamma 90.00
loop_
_atom_site_label
_atom_site_fract_x
_atom_site_fract_y
_atom_site_fract_z
Y1 0.000 0.000 0.000
Mn1 0.500 0.500 0.000
Co1 0.000 0.500 0.500
```

Density of states at the Fermi level, states/eV/f.u.: 3.9


c.
A plane-wave DFT calculation with PBE-GGA was carried out for crystalline YMnCo2 at its relaxed geometry.

```
data_YMnCo2
_chemical_formula_sum 'Y3 Mn3 Co6'
_symmetry_space_group_name_H-M 'R -3 m'
_symmetry_Int_Tables_number 166
_symmetry_space_group_name_Hall '-R 3 2"'
_cell_length_a 4.0136
_cell_length_b 4.0136
_cell_length_c 14.2445
_cell_angle_alpha 90.00
_cell_angle_beta 90.00
_cell_angle_gamma 120.00
loop_
_atom_site_label
_atom_site_fract_x
_atom_site_fract_y
_atom_site_fract_z
Y1 0.0000 0.0000 0.0000
Mn1 0.0000 0.0000 0.5000
Co1 0.0000 0.0000 0.1952
```

Density of states at the Fermi level, states/eV/f.u.: 4.2


Energies relative to the minimum, meV/atom: a 104; b 123; c 0


a.
A plane-wave DFT calculation with PBE-GGA was carried out for crystalline MnZnCo at its relaxed geometry.

```
data_MnZnCo
_chemical_formula_sum 'Mn4 Zn4 Co4'
_symmetry_space_group_name_H-M 'F -4 3 m'
_symmetry_Int_Tables_number 216
_symmetry_space_group_name_Hall 'F -4 2 3'
_cell_length_a 5.427
_cell_length_b 5.427
_cell_length_c 5.427
_cell_angle_alpha 90.00
_cell_angle_beta 90.00
_cell_angle_gamma 90.00
loop_
_atom_site_label
_atom_site_fract_x
_atom_site_fract_y
_atom_site_fract_z
Mn1 0.000 0.000 0.000
Zn1 0.000 0.000 0.500
Co1 0.250 0.250 0.750
```

Density of states at the Fermi level, states/eV/f.u.: 2.4


b.
A plane-wave DFT calculation with PBE-GGA was carried out for crystalline MnZnCo at its relaxed geometry.

```
data_MnZnCo
_chemical_formula_sum 'Mn2 Zn2 Co2'
_symmetry_space_group_name_H-M 'C 1 m 1'
_symmetry_Int_Tables_number 8
_cell_length_a 4.402
_cell_length_b 2.552
_cell_length_c 6.245
_cell_angle_alpha 90.00
_cell_angle_beta 90.33
_cell_angle_gamma 90.00
loop_
_symmetry_equiv_pos_as_xyz
'x,y,z'
'x,-y,z'
'x+1/2,y+1/2,z'
'x+1/2,-y+1/2,z'
loop_
_atom_site_label
_atom_site_fract_x
_atom_site_fract_y
_atom_site_fract_z
Mn1 0.000 0.000 0.000
Zn1 0.166 0.500 0.354
Co1 0.332 0.000 0.700
```

Density of states at the Fermi level, states/eV/f.u.: 2.8


Energies relative to the minimum, meV/atom: a 356; b 0


a.
A plane-wave DFT calculation with PBE-GGA was carried out for crystalline Zr4MnCo at its relaxed geometry.

```
data_Zr4MnCo
_chemical_formula_sum 'Zr16 Mn4 Co4'
_symmetry_space_group_name_H-M 'F -4 3 m'
_symmetry_Int_Tables_number 216
_symmetry_space_group_name_Hall 'F -4 2 3'
_cell_length_a 7.953
_cell_length_b 7.953
_cell_length_c 7.953
_cell_angle_alpha 90.00
_cell_angle_beta 90.00
_cell_angle_gamma 90.00
loop_
_atom_site_label
_atom_site_fract_x
_atom_site_fract_y
_atom_site_fract_z
Zr1 0.125 0.125 0.125
Mn1 0.000 0.000 0.500
Co1 0.250 0.250 0.750
```

Density of states at the Fermi level, states/eV/f.u.: 11.5


b.
A plane-wave DFT calculation with PBE-GGA was carried out for crystalline Zr4MnCo at its relaxed geometry.

```
data_Zr4MnCo
_chemical_formula_sum 'Zr8 Mn2 Co2'
_symmetry_space_group_name_H-M 'I 4 2 2'
_symmetry_Int_Tables_number 97
_symmetry_space_group_name_Hall 'I 4 2'
_cell_length_a 6.300
_cell_length_b 6.300
_cell_length_c 5.702
_cell_angle_alpha 90.00
_cell_angle_beta 90.00
_cell_angle_gamma 90.00
loop_
_atom_site_label
_atom_site_fract_x
_atom_site_fract_y
_atom_site_fract_z
Zr1 0.177 0.323 0.250
Mn1 0.000 0.000 0.000
Co1 0.000 0.000 0.500
```

Density of states at the Fermi level, states/eV/f.u.: 7.0


Energies relative to the minimum, meV/atom: a 858; b 0


a.
A plane-wave DFT calculation with PBE-GGA was carried out for crystalline CoMo4 at its relaxed geometry.

```
data_CoMo4
_chemical_formula_sum 'Co1 Mo4'
_symmetry_space_group_name_H-M 'P m -3 m'
_symmetry_Int_Tables_number 221
_symmetry_space_group_name_Hall '-P 4 2 3'
_cell_length_a 4.415
_cell_length_b 4.415
_cell_length_c 4.415
_cell_angle_alpha 90.00
_cell_angle_beta 90.00
_cell_angle_gamma 90.00
loop_
_atom_site_label
_atom_site_fract_x
_atom_site_fract_y
_atom_site_fract_z
Co1 0.000 0.000 0.000
Mo1 0.000 0.000 0.500
Mo2 0.500 0.500 0.500
```

Density of states at the Fermi level, states/eV/f.u.: 5.6


b.
A plane-wave DFT calculation with PBE-GGA was carried out for crystalline CoMo4 at its relaxed geometry.

```
data_CoMo4
_chemical_formula_sum 'Co2 Mo8'
_symmetry_space_group_name_H-M 'I 4/m m m'
_symmetry_Int_Tables_number 139
_symmetry_space_group_name_Hall '-I 4 2'
_cell_length_a 4.081
_cell_length_b 4.081
_cell_length_c 11.000
_cell_angle_alpha 90.00
_cell_angle_beta 90.00
_cell_angle_gamma 90.00
loop_
_atom_site_label
_atom_site_fract_x
_atom_site_fract_y
_atom_site_fract_z
Co1 0.000 0.000 0.000
Mo1 0.000 0.000 0.386
Mo2 0.000 0.500 0.250
```

Density of states at the Fermi level, states/eV/f.u.: 6.7


c.
A plane-wave DFT calculation with PBE-GGA was carried out for crystalline CoMo4 at its relaxed geometry.

```
data_CoMo4
_chemical_formula_sum 'Co2 Mo8'
_symmetry_space_group_name_H-M 'I 4/m'
_symmetry_Int_Tables_number 87
_symmetry_space_group_name_Hall '-I 4'
_cell_length_a 6.904
_cell_length_b 6.904
_cell_length_c 3.156
_cell_angle_alpha 90.00
_cell_angle_beta 90.00
_cell_angle_gamma 90.00
loop_
_atom_site_label
_atom_site_fract_x
_atom_site_fract_y
_atom_site_fract_z
Co1 0.000 0.000 0.000
Mo1 0.105 0.300 0.500
```

Density of states at the Fermi level, states/eV/f.u.: 4.3


d.
A plane-wave DFT calculation with PBE-GGA was carried out for crystalline CoMo4 at its relaxed geometry.

```
data_CoMo4
_chemical_formula_sum 'Co2 Mo8'
_symmetry_space_group_name_H-M 'I m -3 m'
_symmetry_Int_Tables_number 229
_symmetry_space_group_name_Hall '-I 4 2 3'
_cell_length_a 5.562
_cell_length_b 5.562
_cell_length_c 5.562
_cell_angle_alpha 90.00
_cell_angle_beta 90.00
_cell_angle_gamma 90.00
loop_
_atom_site_label
_atom_site_fract_x
_atom_site_fract_y
_atom_site_fract_z
Co1 0.000 0.000 0.000
Mo1 0.250 0.250 0.250
```

Density of states at the Fermi level, states/eV/f.u.: 5.9


Energies relative to the minimum, meV/atom: a 1116; b 979; c 0; d 938


a.
A plane-wave DFT calculation with PBE-GGA was carried out for crystalline Co3Mo4 at its relaxed geometry.

```
data_Co3Mo4
_chemical_formula_sum 'Co3 Mo4'
_symmetry_space_group_name_H-M 'P 6/m m m'
_symmetry_Int_Tables_number 191
_symmetry_space_group_name_Hall '-P 6 2'
_cell_length_a 4.7624
_cell_length_b 4.7624
_cell_length_c 4.7886
_cell_angle_alpha 90.00
_cell_angle_beta 90.00
_cell_angle_gamma 120.00
loop_
_atom_site_label
_atom_site_fract_x
_atom_site_fract_y
_atom_site_fract_z
Co1 0.0000 0.5000 0.0000
Mo1 0.0000 0.0000 0.2539
Mo2 0.3333 0.6667 0.5000
```

Density of states at the Fermi level, states/eV/f.u.: 7.3


b.
A plane-wave DFT calculation with PBE-GGA was carried out for crystalline Co3Mo4 at its relaxed geometry.

```
data_Co3Mo4
_chemical_formula_sum 'Co6 Mo8'
_symmetry_space_group_name_H-M 'I 4/m m m'
_symmetry_Int_Tables_number 139
_symmetry_space_group_name_Hall '-I 4 2'
_cell_length_a 3.129
_cell_length_b 3.129
_cell_length_c 19.675
_cell_angle_alpha 90.00
_cell_angle_beta 90.00
_cell_angle_gamma 90.00
loop_
_atom_site_label
_atom_site_fract_x
_atom_site_fract_y
_atom_site_fract_z
Co1 0.000 0.000 0.000
Co2 0.000 0.000 0.284
Mo1 0.000 0.000 0.154
Mo2 0.000 0.000 0.426
```

Density of states at the Fermi level, states/eV/f.u.: 8.5


Energies relative to the minimum, meV/atom: a 0; b 191


a.
A plane-wave DFT calculation with PBE-GGA was carried out for crystalline Co3MoN at its relaxed geometry.

```
data_Co3MoN
_chemical_formula_sum 'Co3 Mo1 N1'
_symmetry_space_group_name_H-M 'P m -3 m'
_symmetry_Int_Tables_number 221
_symmetry_space_group_name_Hall '-P 4 2 3'
_cell_length_a 4.436
_cell_length_b 4.436
_cell_length_c 4.436
_cell_angle_alpha 90.00
_cell_angle_beta 90.00
_cell_angle_gamma 90.00
loop_
_atom_site_label
_atom_site_fract_x
_atom_site_fract_y
_atom_site_fract_z
Co1 0.000 0.000 0.500
Mo1 0.000 0.000 0.000
N1 0.500 0.500 0.500
```

Density of states at the Fermi level, states/eV/f.u.: 7.9


b.
A plane-wave DFT calculation with PBE-GGA was carried out for crystalline Co3MoN at its relaxed geometry.

```
data_Co3MoN
_chemical_formula_sum 'Co3 Mo1 N1'
_symmetry_space_group_name_H-M 'P m -3 m'
_symmetry_Int_Tables_number 221
_symmetry_space_group_name_Hall '-P 4 2 3'
_cell_length_a 3.798
_cell_length_b 3.798
_cell_length_c 3.798
_cell_angle_alpha 90.00
_cell_angle_beta 90.00
_cell_angle_gamma 90.00
loop_
_atom_site_label
_atom_site_fract_x
_atom_site_fract_y
_atom_site_fract_z
Co1 0.000 0.000 0.500
Mo1 0.500 0.500 0.500
N1 0.000 0.000 0.000
```

Density of states at the Fermi level, states/eV/f.u.: 5.5


Energies relative to the minimum, meV/atom: a 2328; b 0